Here is a PBEsol-optimized structure of Mn7Fe3 from the Alexandria database. Energies are from SCAN.

Calculated values
**Volume**: 102.9 Å³/f.u.
**DFT formation energy**: 0.13 eV per atom
**Symmetry**: P2_1, No. 4
**Spin magnetization**: 0.05 μB/atom

Cell and atoms, written as POSCAR:
```
Mn7Fe3
1.0
-2.773 -0.572 5.177
5.201 0.159 2.794
-0.410 5.873 0.429
Fe Mn
6 14
Direct
0.053 0.196 0.446
0.947 0.804 0.946
0.303 0.446 0.304
0.446 0.697 0.553
0.697 0.554 0.804
0.554 0.303 0.053
0.198 0.125 0.055
0.447 0.054 0.374
0.304 0.623 0.948
0.803 0.052 0.198
0.197 0.948 0.698
0.375 0.305 0.696
0.947 0.448 0.124
0.127 0.801 0.302
0.053 0.552 0.624
0.553 0.946 0.874
0.802 0.875 0.555
0.873 0.199 0.802
0.696 0.377 0.448
0.625 0.695 0.196
```